(1)
NdDy2CdPd4 | GGA-PBE | relaxed

abc: 4.9248 4.9248 24.1403
angles: 90.00 90.00 120.00
Space group R-3m (No. 166, hexagonal axes)
Unique sites:
Nd (0.0000, 0.0000, 0.0000) [3 per cell]
Dy (0.0000, 0.0000, 0.2424) [6 per cell]
Cd (0.0000, 0.0000, 0.5000) [3 per cell]
Pd (0.0000, 0.0000, 0.1223) [6 per cell]
Pd (0.0000, 0.0000, 0.3773) [6 per cell]

## Properties
E: -5.21 eV/atom
Formation energy: -0.757 eV/atom

---

(2)
PrNdDyCd | GGA-PBE | relaxed

abc: 3.695 3.695 9.107
angles: 90.00 90.00 90.00
Space group P4mm (No. 99)
Unique sites:
Pr (0.000, 0.000, 0.000) [1 per cell]
Nd (0.500, 0.500, 0.715) [1 per cell]
Dy (0.500, 0.500, 0.273) [1 per cell]
Cd (0.000, 0.000, 0.483) [1 per cell]

## Properties
E: -3.92 eV/atom
Offset from the most stable computed form: 0.000 eV per atom
Formation energy: -0.151 eV/atom

---

(3)
PrNdDyCd | GGA-PBE | relaxed

abc: 7.890 7.890 7.890
angles: 90.00 90.00 90.00
Space group F-43m (No. 216)
Unique sites:
Pr (0.000, 0.000, 0.000) [4 per cell]
Nd (0.000, 0.000, 0.500) [4 per cell]
Dy (0.250, 0.250, 0.250) [4 per cell]
Cd (0.250, 0.250, 0.750) [4 per cell]

## Properties
E: -3.81 eV/atom
Offset from the most stable computed form: 0.107 eV per atom
Formation energy: -0.044 eV/atom

---

(4)
NdDyCdRh | GGA-PBE | relaxed

abc: 7.271 7.271 7.271
angles: 90.00 90.00 90.00
Space group F-43m (No. 216)
Unique sites:
Nd (0.000, 0.000, 0.000) [4 per cell]
Dy (0.000, 0.000, 0.500) [4 per cell]
Cd (0.250, 0.250, 0.250) [4 per cell]
Rh (0.250, 0.250, 0.750) [4 per cell]

## Properties
E: -4.88 eV/atom
Formation energy: -0.470 eV/atom

---

(5)
NdDyCdRu | GGA-PBE | relaxed

abc: 7.235 7.235 7.235
angles: 90.00 90.00 90.00
Space group F-43m (No. 216)
Unique sites:
Nd (0.000, 0.000, 0.000) [4 per cell]
Dy (0.000, 0.000, 0.500) [4 per cell]
Cd (0.250, 0.250, 0.250) [4 per cell]
Ru (0.250, 0.250, 0.750) [4 per cell]

## Properties
E: -5.11 eV/atom
Offset from the most stable computed form: 0.101 eV per atom
Formation energy: -0.218 eV/atom

---

(6)
NdDyCdRu | GGA-PBE | relaxed

abc: 3.519 3.519 7.802
angles: 90.00 90.00 90.00
Space group P4mm (No. 99)
Unique sites:
Nd (0.000, 0.000, 0.000) [1 per cell]
Dy (0.000, 0.000, 0.568) [1 per cell]
Cd (0.500, 0.500, 0.298) [1 per cell]
Ru (0.500, 0.500, 0.773) [1 per cell]

## Properties
E: -5.21 eV/atom
Offset from the most stable computed form: 0.000 eV per atom
Formation energy: -0.319 eV/atom

---

(7)
NdDyCdSi | GGA-PBE | relaxed

abc: 7.335 7.335 7.335
angles: 90.00 90.00 90.00
Space group F-43m (No. 216)
Unique sites:
Nd (0.000, 0.000, 0.000) [4 per cell]
Dy (0.000, 0.000, 0.500) [4 per cell]
Cd (0.250, 0.250, 0.250) [4 per cell]
Si (0.250, 0.250, 0.750) [4 per cell]

## Properties
E: -4.31 eV/atom
Formation energy from raw total energies: -0.38 eV per atom

---

(8)
NdSmDyCd | GGA-PBE | relaxed

abc: 3.661 3.661 9.085
angles: 90.00 90.00 90.00
Space group P4mm (No. 99)
Unique sites:
Nd (0.000, 0.000, 0.000) [1 per cell]
Sm (0.500, 0.500, 0.719) [1 per cell]
Dy (0.500, 0.500, 0.274) [1 per cell]
Cd (0.000, 0.000, 0.489) [1 per cell]

## Properties
E: -3.90 eV/atom
Offset from the most stable computed form: 0.000 eV per atom
Formation energy: -0.150 eV/atom

---

(9)
Nd2SmDy2Cd | GGA-PBE | relaxed

abc: 6.597 10.201 5.688
angles: 90.00 90.00 90.00
Space group Pnnm (No. 58)
Unique sites:
Nd (0.191, 0.130, 0.000) [4 per cell]
Sm (0.000, 0.500, 0.000) [2 per cell]
Dy (0.192, 0.297, 0.500) [4 per cell]
Cd (0.000, 0.000, 0.500) [2 per cell]

## Properties
E: -4.00 eV/atom
Formation energy: 0.059 eV/atom

---

(10)
NdSmDyCd | GGA-PBE | relaxed

abc: 7.831 7.831 7.831
angles: 90.00 90.00 90.00
Space group F-43m (No. 216)
Unique sites:
Nd (0.000, 0.000, 0.000) [4 per cell]
Sm (0.000, 0.000, 0.500) [4 per cell]
Dy (0.250, 0.250, 0.250) [4 per cell]
Cd (0.250, 0.250, 0.750) [4 per cell]

## Properties
E: -3.79 eV/atom
Offset from the most stable computed form: 0.113 eV per atom
Formation energy: -0.037 eV/atom

---

(11)
Nd2DyCd2Sn2 | GGA-PBE | relaxed

abc: 5.0013 5.0013 27.0087
angles: 90.00 90.00 120.00
Space group R-3m (No. 166, hexagonal axes)
Unique sites:
Nd (0.0000, 0.0000, 0.1302) [6 per cell]
Dy (0.0000, 0.0000, 0.0000) [3 per cell]
Cd (0.0000, 0.0000, 0.4113) [6 per cell]
Sn (0.0000, 0.0000, 0.2699) [6 per cell]

## Properties
E: -3.74 eV/atom
Formation energy: -0.310 eV/atom

---

(12)
TbNdDyCd | GGA-PBE | relaxed

abc: 3.640 3.640 9.038
angles: 90.00 90.00 90.00
Space group P4mm (No. 99)
Unique sites:
Tb (0.000, 0.000, 0.000) [1 per cell]
Nd (0.500, 0.500, 0.279) [1 per cell]
Dy (0.000, 0.000, 0.557) [1 per cell]
Cd (0.500, 0.500, 0.777) [1 per cell]

## Properties
E: -3.88 eV/atom
Offset from the most stable computed form: 0.000 eV per atom
Formation energy: -0.151 eV/atom

---

(13)
TbNdDyCd | GGA-PBE | relaxed

abc: 7.786 7.786 7.786
angles: 90.00 90.00 90.00
Space group F-43m (No. 216)
Unique sites:
Tb (0.000, 0.000, 0.000) [4 per cell]
Nd (0.250, 0.250, 0.250) [4 per cell]
Dy (0.250, 0.250, 0.750) [4 per cell]
Cd (0.000, 0.000, 0.500) [4 per cell]

## Properties
E: -3.75 eV/atom
Offset from the most stable computed form: 0.131 eV per atom
Formation energy: -0.021 eV/atom

---

(14)
NdDyThCd | GGA-PBE | relaxed

abc: 3.639 3.639 8.989
angles: 90.00 90.00 90.00
Space group P4mm (No. 99)
Unique sites:
Nd (0.000, 0.000, 0.000) [1 per cell]
Dy (0.000, 0.000, 0.465) [1 per cell]
Th (0.500, 0.500, 0.728) [1 per cell]
Cd (0.500, 0.500, 0.244) [1 per cell]

## Properties
E: -4.59 eV/atom
Offset from the most stable computed form: 0.000 eV per atom
Formation energy: -0.164 eV/atom

---

(15)
NdDyThCd | GGA-PBE | relaxed

abc: 7.812 7.812 7.812
angles: 90.00 90.00 90.00
Space group F-43m (No. 216)
Unique sites:
Nd (0.000, 0.000, 0.000) [4 per cell]
Dy (0.000, 0.000, 0.500) [4 per cell]
Th (0.250, 0.250, 0.250) [4 per cell]
Cd (0.250, 0.250, 0.750) [4 per cell]

## Properties
E: -4.34 eV/atom
Offset from the most stable computed form: 0.252 eV per atom
Formation energy: 0.088 eV/atom

---

(16)
NdDyTlCd | GGA-PBE | relaxed

abc: 7.659 7.659 7.659
angles: 90.00 90.00 90.00
Space group F-43m (No. 216)
Unique sites:
Nd (0.000, 0.000, 0.000) [4 per cell]
Dy (0.000, 0.000, 0.500) [4 per cell]
Tl (0.250, 0.250, 0.750) [4 per cell]
Cd (0.250, 0.250, 0.250) [4 per cell]

## Properties
E: -3.51 eV/atom
Formation energy: -0.346 eV/atom

---

(17)
Dy4Cd3Ni | GGA-PBE | relaxed

abc: 3.459 3.459 16.300
angles: 90.00 90.00 90.00
Space group P4/mmm (No. 123)
Unique sites:
Dy (0.000, 0.000, 0.099) [2 per cell]
Dy (0.000, 0.000, 0.367) [2 per cell]
Cd (0.500, 0.500, 0.235) [2 per cell]
Cd (0.500, 0.500, 0.500) [1 per cell]
Ni (0.500, 0.500, 0.000) [1 per cell]

## Properties
E: -3.70 eV/atom
Formation energy: -0.330 eV/atom

---

(18)
Dy3CdNi | GGA-PBE | relaxed

abc: 9.916 6.541 8.862
angles: 90.00 117.27 90.00
Space group C2/m (No. 12)
Unique sites:
Dy (0.040, 0.000, 0.229) [4 per cell]
Dy (0.185, 0.500, 0.889) [4 per cell]
Dy (0.203, 0.500, 0.302) [4 per cell]
Cd (0.000, 0.286, 0.500) [4 per cell]
Ni (0.000, 0.299, 0.000) [4 per cell]

## Properties
E: -4.36 eV/atom
Offset from the most stable computed form: 0.000 eV per atom
Formation energy: -0.264 eV/atom

---

(19)
DyCdNi | GGA-PBE | relaxed

abc: 6.446 6.446 6.446
angles: 90.00 90.00 90.00
Space group F-43m (No. 216)
Unique sites:
Dy (0.000, 0.000, 0.000) [4 per cell]
Cd (0.000, 0.000, 0.500) [4 per cell]
Ni (0.250, 0.250, 0.250) [4 per cell]

## Properties
E: -4.00 eV/atom
Formation energy: -0.230 eV/atom

---

(20)
DyCdNi2 | GGA-PBE | relaxed

abc: 6.495 6.495 6.495
angles: 90.00 90.00 90.00
Space group Fm-3m (No. 225)
Unique sites:
Dy (0.000, 0.000, 0.000) [4 per cell]
Cd (0.000, 0.000, 0.500) [4 per cell]
Ni (0.250, 0.250, 0.250) [8 per cell]

## Properties
E: -4.52 eV/atom
Offset from the most stable computed form: 0.000 eV per atom
Formation energy: -0.248 eV/atom

---

(21)
Dy4Cd5Ni2 | GGA-PBE | relaxed

abc: 7.641 3.555 9.473
angles: 90.00 93.73 90.00
Space group P2/m (No. 10)
Unique sites:
Dy (0.166, 0.000, 0.342) [2 per cell]
Dy (0.218, 0.000, 0.946) [2 per cell]
Cd (0.182, 0.500, 0.649) [2 per cell]
Cd (0.449, 0.500, 0.176) [2 per cell]
Cd (0.500, 0.500, 0.500) [1 per cell]
Ni (0.065, 0.500, 0.131) [2 per cell]

## Properties
E: -3.50 eV/atom
Formation energy: -0.360 eV/atom

---

(22)
Dy12CdNi6 | GGA-PBE | relaxed

abc: 9.689 9.689 9.689
angles: 90.00 90.00 90.00
Space group Im-3 (No. 204)
Unique sites:
Dy (0.000, 0.187, 0.303) [24 per cell]
Cd (0.000, 0.000, 0.000) [2 per cell]
Ni (0.000, 0.377, 0.500) [12 per cell]

## Properties
E: -5.11 eV/atom
Formation energy: -0.333 eV/atom

---

(23)
Dy6CdNi2 | GGA-PBE | relaxed

abc: 9.278 9.682 10.106
angles: 90.00 90.00 90.00
Space group Immm (No. 71)
Unique sites:
Dy (0.000, 0.201, 0.233) [8 per cell]
Dy (0.192, 0.500, 0.177) [8 per cell]
Dy (0.208, 0.317, 0.500) [8 per cell]
Cd (0.000, 0.000, 0.000) [2 per cell]
Cd (0.000, 0.000, 0.500) [2 per cell]
Ni (0.000, 0.353, 0.000) [4 per cell]
Ni (0.000, 0.500, 0.378) [4 per cell]

## Properties
E: -4.75 eV/atom
Formation energy: -0.292 eV/atom

---

(24)
DyCdNi | GGA-PBE | relaxed

abc: 12.666 3.855 7.479
angles: 90.00 90.00 90.00
Space group Pmma (No. 51)
Unique sites:
Dy (0.046, 0.000, 0.227) [4 per cell]
Dy (0.250, 0.000, 0.845) [2 per cell]
Cd (0.119, 0.500, 0.568) [4 per cell]
Cd (0.250, 0.500, 0.192) [2 per cell]
Ni (0.089, 0.500, 0.941) [4 per cell]
Ni (0.250, 0.000, 0.441) [2 per cell]

## Properties
E: -4.14 eV/atom
Formation energy: -0.377 eV/atom

---

(25)
Dy2Cd3Ni2 | GGA-PBE | relaxed

abc: 3.908 20.573 3.663
angles: 90.00 90.00 90.00
Space group Cmmm (No. 65)
Unique sites:
Dy (0.000, 0.173, 0.000) [4 per cell]
Cd (0.000, 0.000, 0.000) [2 per cell]
Cd (0.000, 0.422, 0.500) [4 per cell]
Ni (0.000, 0.286, 0.500) [4 per cell]

## Properties
E: -3.72 eV/atom
Offset from the most stable computed form: 0.000 eV per atom
Formation energy: -0.365 eV/atom

---

(26)
Dy3CdNi | GGA-PBE | relaxed

abc: 9.876 14.429 3.833
angles: 90.00 90.00 90.00
Space group Cmmm (No. 65)
Unique sites:
Dy (0.000, 0.185, 0.000) [4 per cell]
Dy (0.200, 0.377, 0.500) [8 per cell]
Cd (0.000, 0.000, 0.500) [2 per cell]
Cd (0.000, 0.500, 0.000) [2 per cell]
Ni (0.250, 0.250, 0.000) [4 per cell]

## Properties
E: -4.28 eV/atom
Offset from the most stable computed form: 0.080 eV per atom
Formation energy: -0.184 eV/atom